# NaBTe2I

NaBTe2I after structural relaxation (GGA-PBE, Alexandria).

Computed properties:
- Energy above the most stable polymorph in this dataset: 1.0563 eV per atom
- Symmetry: P4/mmm, No. 123
- E_tot: -9.42 eV for the cell shown
- ΔE_f (raw): 1.282 eV per atom

Structure (POSCAR):
```
NaBTe2I
1.0
-3.9757 3.7471 -0.9135
-1.9085 -0.7713 5.1424
3.5586 4.2531 1.9586
I Na B Te
1 1 1 2
Direct
0.0000 0.0000 0.5000
0.0000 0.0000 0.0000
0.5000 0.5000 0.5000
0.0000 0.5000 0.0000
0.5000 0.0000 0.0000
```

# SrTa2Pt

SrTa2Pt after structural relaxation (GGA-PBE, Alexandria).

Computed properties:
- Formation enthalpy at 0 K: 362 meV/atom
- Energy above the most stable polymorph in this dataset: 0.3078 eV per atom
- Symmetry: P4/mmm, No. 123
- E_tot: -29.98 eV for the cell shown

Structure (POSCAR):
```
SrTa2Pt
1.0
-0.6513 0.3125 2.8230
-1.3817 -2.5652 -0.0381
8.3974 -4.5593 2.4421
Pt Sr Ta
1 1 2
Direct
0.5000 0.5000 0.2500
0.5000 0.5000 0.7500
0.0000 0.0000 0.0494
0.0000 0.0000 0.4506
```

# Pm2SmSbO8

Pm2SmSbO8 after structural relaxation (GGA-PBE, Alexandria).

Computed properties:
- Symmetry: P-1, No. 2
- E_tot: -86.90 eV for the cell shown
- ΔE_f (raw): -2.407 eV per atom

Structure (POSCAR):
```
Pm2SmSbO8
1.0
4.1539 -0.1725 0.0005
-0.1500 5.3963 -0.0041
0.0078 0.0099 7.4337
Pm Sm Sb O
2 1 1 8
Direct
0.4994 0.4994 0.7516
0.5006 0.5006 0.2484
0.0000 0.0000 0.5000
0.0000 0.0000 0.0000
0.0427 0.7602 0.2123
0.5709 0.8036 0.9993
0.9572 0.2402 0.2121
0.9573 0.2398 0.7877
0.4291 0.1964 0.0007
0.0428 0.7598 0.7879
0.5085 0.7527 0.5001
0.4915 0.2473 0.4999
```

# GdPaMo4

GdPaMo4 after structural relaxation (GGA-PBE, Alexandria).

Computed properties:
- Formation enthalpy at 0 K: 131 meV/atom
- Symmetry: F-43m, No. 216
- E_tot: -66.11 eV for the cell shown

Structure (POSCAR):
```
GdPaMo4
1.0
5.5154 0.0000 0.0000
2.7577 4.7764 0.0000
2.7577 1.5921 4.5033
Gd Mo Pa
1 4 1
Direct
0.2500 0.2500 0.2500
0.6253 0.6253 0.1240
0.6253 0.1240 0.6253
0.6253 0.6253 0.6253
0.1240 0.6253 0.6253
0.0000 0.0000 0.0000
```

# KIr2PtS

KIr2PtS after structural relaxation (GGA-PBE, Alexandria).

Computed properties:
- Symmetry: P4/mmm, No. 123
- E_tot: -14.25 eV for the cell shown
- ΔE_f (raw): 2.948 eV per atom

Structure (POSCAR):
```
KIr2PtS
1.0
-1.2735 -1.3881 4.3124
-3.3675 -3.1387 -2.0048
3.2500 -3.4007 -0.1349
K Ir S Pt
1 2 1 1
Direct
0.0000 0.0000 0.0000
0.0000 0.0000 0.5000
0.5000 0.0000 0.0000
0.0000 0.5000 0.0000
0.5000 0.5000 0.5000
```

# NdDy2Th3Bi6

NdDy2Th3Bi6 after structural relaxation (GGA-PBE, Alexandria).

Computed properties:
- Formation enthalpy at 0 K: -727 meV/atom
- Symmetry: C2/m, No. 12
- E_tot: -68.24 eV for the cell shown

Structure (POSCAR):
```
NdDy2Th3Bi6
1.0
-2.0177 -4.0626 0.5161
0.8081 -1.5359 -8.9306
9.4486 -1.6910 3.4367
Nd Dy Th Bi
1 2 3 6
Direct
0.5000 0.0000 0.0000
0.8332 0.6670 0.6663
0.1668 0.3330 0.3337
0.5000 0.5000 0.0000
0.8352 0.1674 0.6705
0.1648 0.8326 0.3295
0.3323 0.9100 0.6645
0.6688 0.5782 0.3377
0.6677 0.0900 0.3355
0.0031 0.2514 0.0063
0.9969 0.7486 0.9937
0.3312 0.4218 0.6623
```

# CaGaGe2S6

CaGaGe2S6 after structural relaxation (GGA-PBE, Alexandria).

Computed properties:
- Symmetry: C2/c, No. 15
- E_tot: -90.41 eV for the cell shown
- ΔE_f (raw): -0.618 eV per atom

Structure (POSCAR):
```
CaGaGe2S6
1.0
-2.4342 4.0508 -5.5357
2.3455 -4.0729 -7.3926
-8.1277 -2.7264 -1.8020
Ca Ga Ge S
2 2 4 12
Direct
0.2500 0.8732 0.1268
0.7500 0.1268 0.8732
0.2500 0.1961 0.8039
0.7500 0.8039 0.1961
0.3106 0.7598 0.6165
0.1894 0.3835 0.2402
0.6894 0.2402 0.3835
0.8106 0.6165 0.7598
0.1598 0.9561 0.8186
0.3402 0.1814 0.0439
0.8402 0.0439 0.1814
0.6598 0.8186 0.9561
0.4346 0.8709 0.3732
0.0654 0.6268 0.1291
0.5654 0.1291 0.6268
0.9346 0.3732 0.8709
0.0367 0.7041 0.5663
0.4633 0.4337 0.2959
0.9633 0.2959 0.4337
0.5367 0.5663 0.7041
```

# TiGaPS2

TiGaPS2 after structural relaxation (GGA-PBE, Alexandria).

Computed properties:
- Energy above the most stable polymorph in this dataset: 0.6944 eV per atom
- Symmetry: P4/mmm, No. 123
- E_tot: -22.32 eV for the cell shown
- ΔE_f (raw): 0.453 eV per atom

Structure (POSCAR):
```
TiGaPS2
1.0
-0.7742 3.0383 3.4031
1.9049 -2.9211 3.0413
4.1469 1.9105 -0.7623
P S Ga Ti
1 2 1 1
Direct
0.0000 0.0000 0.5000
0.0000 0.5000 0.0000
0.5000 0.0000 0.0000
0.0000 0.0000 0.0000
0.5000 0.5000 0.5000
```

# Zn3CuNi

Zn3CuNi after structural relaxation (GGA-PBE, Alexandria).

Computed properties:
- Formation enthalpy at 0 K: -13 meV/atom
- Energy above the most stable polymorph in this dataset: 0.1216 eV per atom
- Symmetry: C2/c, No. 15
- E_tot: -55.06 eV for the cell shown

Structure (POSCAR):
```
Zn3CuNi
1.0
-5.1676 1.9097 3.1010
-5.0527 -0.5905 -4.5787
-1.8969 -5.4534 3.6751
Zn Cu Ni
12 4 4
Direct
0.6529 0.7759 0.0228
0.8471 0.9772 0.2241
0.3471 0.2241 0.9772
0.1529 0.0228 0.7759
0.8724 0.3760 0.0198
0.6276 0.9802 0.6240
0.1276 0.6240 0.9802
0.3724 0.0198 0.3760
0.3821 0.6710 0.6061
0.1179 0.3939 0.3290
0.6179 0.3290 0.3939
0.8821 0.6061 0.6710
0.5740 0.4333 0.8062
0.9260 0.1938 0.5667
0.4260 0.5667 0.1938
0.0740 0.8062 0.4333
0.2500 0.9183 0.0817
0.7500 0.0817 0.9183
0.2500 0.3445 0.6555
0.7500 0.6555 0.3445
```

# TbUSi2O8

TbUSi2O8 after structural relaxation (GGA-PBE, Alexandria).

Computed properties:
- Symmetry: I-4m2, No. 119
- E_tot: -103.58 eV for the cell shown
- ΔE_f (raw): -3.096 eV per atom

Structure (POSCAR):
```
TbUSi2O8
1.0
-4.2540 1.6544 3.6013
3.6341 -4.0190 2.1079
3.2020 4.7334 -1.0698
Tb U Si O
1 1 2 8
Direct
0.2500 0.7500 0.5000
0.0000 0.0000 0.0000
0.7500 0.2500 0.5000
0.5000 0.5000 0.0000
0.3978 0.0822 0.3156
0.3248 0.5018 0.1770
0.3248 0.1479 0.8230
0.7667 0.0822 0.6844
0.8521 0.6752 0.1770
0.9178 0.2333 0.3156
0.9178 0.6022 0.6844
0.4982 0.6752 0.8230
```

# Ta2FeRe

Ta2FeRe after structural relaxation (GGA-PBE, Alexandria).

Computed properties:
- Formation enthalpy at 0 K: -9 meV/atom
- Symmetry: F-43m, No. 216
- E_tot: -44.65 eV for the cell shown

Structure (POSCAR):
```
Ta2FeRe
1.0
-2.2049 -1.9893 3.3211
-3.1143 -3.0536 -0.9084
0.7555 -4.2937 0.9180
Fe Re Ta
1 1 2
Direct
0.5000 0.5000 0.5000
0.7500 0.7500 0.7500
0.0000 0.0000 0.0000
0.2500 0.2500 0.2500
```

# Li3Ac2HoPb4

Li3Ac2HoPb4 after structural relaxation (GGA-PBE, Alexandria).

Computed properties:
- Formation enthalpy at 0 K: -477 meV/atom
- Symmetry: P-4m2, No. 115
- E_tot: -38.14 eV for the cell shown

Structure (POSCAR):
```
Li3Ac2HoPb4
1.0
4.8212 0.0000 0.0000
0.0000 4.8212 0.0000
0.0000 0.0000 12.1384
Li Ac Ho Pb
3 2 1 4
Direct
0.0000 0.0000 0.5000
0.5000 0.0000 0.8750
0.0000 0.5000 0.1250
0.5000 0.0000 0.2321
0.0000 0.5000 0.7679
0.5000 0.5000 0.5000
0.5000 0.5000 0.0000
0.0000 0.0000 0.0000
0.5000 0.0000 0.6518
0.0000 0.5000 0.3482
```

# Pr3Tc2N8

Pr3Tc2N8 after structural relaxation (GGA-PBE, Alexandria).

Computed properties:
- Symmetry: R-3m, No. 166
- E_tot: -108.50 eV for the cell shown
- ΔE_f (raw): -0.525 eV per atom

Structure (POSCAR):
```
Pr3Tc2N8
1.0
-2.0347 1.6841 4.9914
2.7953 -1.2317 4.7496
3.7687 6.0190 2.7000
Pr Tc N
3 2 8
Direct
0.0000 0.0000 0.0000
0.7972 0.7972 0.6083
0.2028 0.2028 0.3917
0.5936 0.5936 0.2191
0.4064 0.4064 0.7809
0.6809 0.6809 0.9572
0.3191 0.3191 0.0428
0.2152 0.7365 0.3117
0.7365 0.2152 0.3117
0.7365 0.7365 0.3117
0.2635 0.7848 0.6883
0.7848 0.2635 0.6883
0.2635 0.2635 0.6883
```

# Ca3Ge4Au

Ca3Ge4Au after structural relaxation (GGA-PBE, Alexandria).

Computed properties:
- Formation enthalpy at 0 K: -418 meV/atom
- Symmetry: Immm, No. 71
- E_tot: -31.09 eV for the cell shown

Structure (POSCAR):
```
Ca3Ge4Au
1.0
4.4308 0.0000 0.0000
0.0000 5.8987 0.0000
-2.2154 -2.9493 7.9195
Ca Ge Au
3 4 1
Direct
0.1980 0.1980 0.3959
0.8020 0.8020 0.6041
0.0000 0.5000 0.0000
0.3793 0.5837 0.7586
0.6207 0.4163 0.2414
0.6207 0.8252 0.2414
0.3793 0.1748 0.7586
0.5000 0.0000 0.0000
```

# Al4ZnGa7

Al4ZnGa7 after structural relaxation (GGA-PBE, Alexandria).

Computed properties:
- Formation enthalpy at 0 K: 48 meV/atom
- Energy above the most stable polymorph in this dataset: 0.0000 eV per atom
- Symmetry: P-1, No. 2
- E_tot: -36.86 eV for the cell shown

Structure (POSCAR):
```
Al4ZnGa7
1.0
-3.6499 -1.3900 -1.1791
3.9140 0.0774 -3.2182
3.3297 -12.0101 0.3298
Al Zn Ga
4 1 7
Direct
0.6600 0.3340 0.0829
0.3400 0.6660 0.9171
0.6604 0.3285 0.3360
0.3396 0.6715 0.6640
0.0000 0.0000 0.5000
0.0000 0.0000 0.0000
0.6658 0.3340 0.5804
0.3342 0.6660 0.4196
0.6772 0.3346 0.8346
0.3228 0.6654 0.1654
0.9949 0.9970 0.2530
0.0051 0.0030 0.7470
```

# Ac3AlGa3

Ac3AlGa3 after structural relaxation (GGA-PBE, Alexandria).

Computed properties:
- Formation enthalpy at 0 K: -196 meV/atom
- Energy above the most stable polymorph in this dataset: 0.3136 eV per atom
- Symmetry: P6_3/m, No. 176
- E_tot: -53.05 eV for the cell shown

Structure (POSCAR):
```
Ac3AlGa3
1.0
6.3211 0.0000 0.0000
0.0000 9.3706 0.0000
0.0000 -4.6853 8.1152
Ac Al Ga
6 2 6
Direct
0.7500 0.7139 0.6495
0.7500 0.3505 0.0645
0.7500 0.9355 0.2861
0.2500 0.2861 0.3505
0.2500 0.6495 0.9355
0.2500 0.0645 0.7139
0.2500 0.6667 0.3333
0.7500 0.3333 0.6667
0.2500 0.6744 0.6101
0.2500 0.3899 0.0643
0.2500 0.9357 0.3256
0.7500 0.3256 0.3899
0.7500 0.6101 0.9357
0.7500 0.0643 0.6744
```

# RbP2S2

RbP2S2 after structural relaxation (GGA-PBE, Alexandria).

Computed properties:
- Energy above the most stable polymorph in this dataset: 0.3766 eV per atom
- Symmetry: P4/mmm, No. 123
- E_tot: -17.32 eV for the cell shown
- ΔE_f (raw): 0.544 eV per atom

Structure (POSCAR):
```
RbP2S2
1.0
4.7619 0.0000 0.0000
0.0000 4.7619 0.0000
0.0000 0.0000 5.0588
P S Rb
2 2 1
Direct
0.0000 0.5000 0.0000
0.5000 0.0000 0.0000
0.0000 0.0000 0.0000
0.0000 0.0000 0.5000
0.5000 0.5000 0.5000
```

# ZnHg2Au

ZnHg2Au after structural relaxation (GGA-PBE, Alexandria).

Computed properties:
- Formation enthalpy at 0 K: 102 meV/atom
- Symmetry: Cmmm, No. 65
- E_tot: -4.75 eV for the cell shown

Structure (POSCAR):
```
ZnHg2Au
1.0
-1.8283 -3.3643 -3.0699
4.8901 -0.3299 0.2527
-0.3094 -2.4161 2.8321
Au Hg Zn
1 2 1
Direct
0.0000 0.5000 0.5000
0.0000 0.0000 0.0000
0.5000 0.5000 0.0000
0.5000 0.0000 0.5000
```

# BaGdTlZn

BaGdTlZn after structural relaxation (GGA-PBE, Alexandria).

Computed properties:
- Formation enthalpy at 0 K: -196 meV/atom
- Symmetry: F-43m, No. 216
- E_tot: -20.43 eV for the cell shown

Structure (POSCAR):
```
BaGdTlZn
1.0
-2.2460 3.1463 4.0898
1.6959 -0.6760 5.3233
3.0857 3.9885 2.4982
Zn Tl Gd Ba
1 1 1 1
Direct
0.5000 0.5000 0.5000
0.0000 0.0000 0.0000
0.7500 0.7500 0.7500
0.2500 0.2500 0.2500
```

# NaV2Sb

NaV2Sb after structural relaxation (GGA-PBE, Alexandria).

Computed properties:
- Symmetry: I-42d, No. 122
- E_tot: -40.23 eV for the cell shown
- ΔE_f (raw): 0.891 eV per atom

Structure (POSCAR):
```
NaV2Sb
1.0
-7.5046 0.6775 -0.4710
-0.5209 -7.2320 -2.1039
-4.2459 -4.0274 1.3491
Sb V Na
2 4 2
Direct
0.0000 0.0000 0.0000
0.7500 0.2500 0.5000
0.6469 0.1250 0.2500
0.1031 0.6250 0.2500
0.3750 0.3531 0.7500
0.8750 0.8969 0.7500
0.5000 0.5000 0.0000
0.2500 0.7500 0.5000
```

# Mg2Tl2Br7

Mg2Tl2Br7 after structural relaxation (GGA-PBE, Alexandria).

Computed properties:
- Symmetry: C2/m, No. 12
- E_tot: -31.04 eV for the cell shown
- ΔE_f (raw): -1.037 eV per atom

Structure (POSCAR):
```
Mg2Tl2Br7
1.0
-2.8410 -5.6675 -2.6926
2.4916 -3.4565 6.9342
-6.9941 3.6043 2.0810
Mg Tl Br
2 2 7
Direct
0.9135 0.2345 0.2345
0.0865 0.7655 0.7655
0.5000 0.3021 0.6979
0.5000 0.6979 0.3021
0.2753 0.9178 0.5835
0.7247 0.4165 0.0822
0.7247 0.0822 0.4165
0.2753 0.5835 0.9178
0.0000 0.0000 0.0000
0.7644 0.6016 0.6016
0.2356 0.3984 0.3984
```

# HfThGa

HfThGa after structural relaxation (GGA-PBE, Alexandria).

Computed properties:
- Formation enthalpy at 0 K: -60 meV/atom
- Energy above the most stable polymorph in this dataset: 0.2687 eV per atom
- Symmetry: P3m1, No. 156
- E_tot: -20.58 eV for the cell shown

Structure (POSCAR):
```
HfThGa
1.0
-0.5448 -1.7422 2.9654
-3.9781 -2.1252 -1.9795
4.4141 -2.1395 -0.4459
Hf Ga Th
1 1 1
Direct
0.1675 0.0000 0.0000
0.1653 0.3333 0.6667
0.6672 0.6667 0.3333
```

# Zr2AlCu4

Zr2AlCu4 after structural relaxation (GGA-PBE, Alexandria).

Computed properties:
- Formation enthalpy at 0 K: -155 meV/atom
- Energy above the most stable polymorph in this dataset: 0.0000 eV per atom
- Symmetry: P2_1/m, No. 11
- E_tot: -76.62 eV for the cell shown

Structure (POSCAR):
```
Zr2AlCu4
1.0
3.9795 0.0000 0.0000
0.0000 5.5127 -0.0041
0.0000 2.1546 10.1923
Cu Zr Al
8 4 2
Direct
0.2500 0.1009 0.7821
0.7500 0.8991 0.2179
0.2500 0.3359 0.5484
0.7500 0.6641 0.4516
0.2500 0.5911 0.3130
0.7500 0.4089 0.6870
0.2500 0.5209 0.8281
0.7500 0.4791 0.1719
0.2500 0.7609 0.0372
0.7500 0.2391 0.9628
0.2500 0.8054 0.5906
0.7500 0.1946 0.4094
0.7500 0.8067 0.8202
0.2500 0.1933 0.1798
```